Compound: SnOsW2
Source: OQMD via LeMat-Bulk
Functional: PBE
Structure: relaxed

a b c (Å): 4.546 4.546 4.546
angles (deg): 60.00 60.00 60.00
Fractional coordinates of all 4 atoms:
Sn1 0.000 0.000 0.000
Os1 0.250 0.250 0.250
W1 0.500 0.500 0.500
W2 0.750 0.750 0.750

total energy	-9.82	eV per atom
space-group type	F-43m (216)
crystal system	cubic

Compound: SnOs2W
Source: OQMD via LeMat-Bulk
Functional: PBE
Structure: relaxed

a b c (Å): 4.514 4.514 4.514
angles (deg): 60.00 60.00 60.00
Fractional coordinates of all 4 atoms:
Sn1 0.000 0.000 0.000
Os1 0.500 0.500 0.500
Os2 0.750 0.750 0.750
W1 0.250 0.250 0.250

total energy	-9.17	eV per atom
space-group type	F-43m (216)
crystal system	cubic

Compound: YSnOs2
Source: OQMD via LeMat-Bulk
Functional: PBE
Structure: relaxed

a b c (Å): 4.735 4.735 4.735
angles (deg): 60.00 60.00 60.00
Fractional coordinates of all 4 atoms:
Y1 0.000 0.000 0.000
Sn1 0.750 0.750 0.750
Os1 0.250 0.250 0.250
Os2 0.500 0.500 0.500

total energy	-7.76	eV per atom
space-group type	F-43m (216)
crystal system	cubic

Compound: ZnSnOs
Source: OQMD via LeMat-Bulk
Functional: PBE
Structure: relaxed

a b c (Å): 4.367 4.367 4.367
angles (deg): 60.00 60.00 60.00
Fractional coordinates of all 3 atoms:
Zn1 0.000 0.000 0.000
Sn1 0.500 0.500 0.500
Os1 0.750 0.750 0.750

total energy	-5.19	eV per atom
space-group type	F-43m (216)
crystal system	cubic

Compound: ZnSn2Os
Source: OQMD via LeMat-Bulk
Functional: PBE
Structure: relaxed

a b c (Å): 4.781 4.781 4.781
angles (deg): 60.00 60.00 60.00
Fractional coordinates of all 4 atoms:
Zn1 0.000 0.000 0.000
Sn1 0.250 0.250 0.250
Sn2 0.500 0.500 0.500
Os1 0.750 0.750 0.750

total energy	-4.47	eV per atom
space-group type	F-43m (216)
crystal system	cubic

Compound: ZrSn2Os
Source: OQMD via LeMat-Bulk
Functional: PBE
Structure: relaxed

a b c (Å): 4.869 4.869 4.869
angles (deg): 60.00 60.00 60.00
Fractional coordinates of all 4 atoms:
Zr1 0.000 0.000 0.000
Sn1 0.250 0.250 0.250
Sn2 0.500 0.500 0.500
Os1 0.750 0.750 0.750

total energy	-6.86	eV per atom
space-group type	F-43m (216)
crystal system	cubic